Computed, not measured: crystalline Ba2Sr2Ca at its relaxed geometry at the PBE level of DFT. Values from VASP.

Results
Calculated total energy, eV/f.u.: -8.4
Total moment, μB per formula unit: 0.00
SG: P4/mbm
Calculated formation energy, eV/atom: 0.16
Distance to the lowest polymorph of the same formula, meV per atom: 87.7

Structure (Quantum ESPRESSO input):
```
&SYSTEM
  ibrav = 0, nat = 10, ntyp = 3
/
ATOMIC_SPECIES
Sr 87.62 Sr.upf
Ca 40.08 Ca.upf
Ba 137.33 Ba.upf
ATOMIC_POSITIONS crystal
Sr 0.368 0.868 0.000
Sr 0.868 0.632 0.000
Sr 0.632 0.132 0.000
Sr 0.132 0.368 0.000
Ca 0.000 0.000 0.000
Ca 0.500 0.500 0.000
Ba 0.169 0.669 0.500
Ba 0.669 0.831 0.500
Ba 0.831 0.331 0.500
Ba 0.331 0.169 0.500
CELL_PARAMETERS angstrom
-7.936 -7.203 0.875
5.097 -6.456 -6.926
2.383 -2.167 3.774
```

***

Computed, not measured: crystalline BaSr12Ca2 at its relaxed geometry at the PBE level of DFT. Values from VASP.

Results
Calculated total energy, eV/f.u.: -22.4
Total moment, μB per formula unit: 0.06
SG: P4/nbm
Calculated formation energy, eV/atom: 0.25

Structure (Quantum ESPRESSO input):
```
&SYSTEM
  ibrav = 0, nat = 30, ntyp = 3
/
ATOMIC_SPECIES
Ba 137.33 Ba.upf
Sr 87.62 Sr.upf
Ca 40.08 Ca.upf
ATOMIC_POSITIONS crystal
Ba 0.500 0.000 0.000
Ba 0.000 0.500 0.000
Sr 0.500 0.500 0.780
Sr 0.000 0.000 0.780
Sr 0.803 0.697 0.881
Sr 0.303 0.803 0.881
Sr 0.000 0.000 0.343
Sr 0.197 0.697 0.119
Sr 0.821 0.321 0.558
Sr 0.500 0.500 0.343
Sr 0.197 0.303 0.881
Sr 0.697 0.803 0.119
Sr 0.321 0.179 0.558
Sr 0.679 0.179 0.442
Sr 0.000 0.000 0.657
Sr 0.179 0.321 0.442
Sr 0.303 0.197 0.119
Sr 0.821 0.679 0.442
Sr 0.679 0.821 0.558
Sr 0.000 0.000 0.220
Sr 0.179 0.679 0.558
Sr 0.500 0.500 0.657
Sr 0.697 0.197 0.881
Sr 0.500 0.500 0.220
Sr 0.321 0.821 0.442
Sr 0.803 0.303 0.119
Ca 0.500 0.000 0.285
Ca 0.000 0.500 0.285
Ca 0.000 0.500 0.715
Ca 0.500 0.000 0.715
CELL_PARAMETERS angstrom
-5.181 2.619 -4.859
-5.364 -3.960 3.585
-5.348 24.240 18.771
```

***

Computed, not measured: crystalline BaSr4Ca at its relaxed geometry at the PBE level of DFT. Values from VASP.

Results
Calculated total energy, eV/f.u.: -10.6
Total moment, μB per formula unit: 0.00
SG: P4/mmm
Calculated formation energy, eV/atom: 0.01
Distance to the lowest polymorph of the same formula, meV per atom: 0.0

Structure (Quantum ESPRESSO input):
```
&SYSTEM
  ibrav = 0, nat = 12, ntyp = 3
/
ATOMIC_SPECIES
Ba 137.33 Ba.upf
Sr 87.62 Sr.upf
Ca 40.08 Ca.upf
ATOMIC_POSITIONS crystal
Ba 0.000 0.000 0.000
Ba 0.500 0.000 0.500
Sr 0.000 0.821 0.500
Sr 0.500 0.179 0.000
Sr 0.500 0.653 0.500
Sr 0.000 0.347 0.000
Sr 0.000 0.179 0.500
Sr 0.500 0.821 0.000
Sr 0.500 0.347 0.500
Sr 0.000 0.653 0.000
Ca 0.500 0.500 0.000
Ca 0.000 0.500 0.500
CELL_PARAMETERS angstrom
6.793 0.008 0.000
-0.015 13.905 0.000
0.000 0.000 6.793
```

***

Computed, not measured: crystalline Ba5Sr4Ca at its relaxed geometry at the PBE level of DFT. Values from VASP.

Results
Calculated total energy, eV/f.u.: -16.6
Total moment, μB per formula unit: 1.40
SG: I4mm
Calculated formation energy, eV/atom: 0.18
Distance to the lowest polymorph of the same formula, meV per atom: 0.0

Structure (Quantum ESPRESSO input):
```
&SYSTEM
  ibrav = 0, nat = 10, ntyp = 3
/
ATOMIC_SPECIES
Ba 137.33 Ba.upf
Sr 87.62 Sr.upf
Ca 40.08 Ca.upf
ATOMIC_POSITIONS crystal
Ba 0.772 0.370 0.000
Ba 0.142 0.000 0.630
Ba 0.772 0.000 0.370
Ba 0.142 0.630 0.000
Ba 0.673 0.000 0.000
Sr 0.450 0.321 0.679
Sr 0.770 0.679 0.679
Sr 0.129 0.321 0.321
Sr 0.450 0.679 0.321
Ca 0.210 0.000 0.000
CELL_PARAMETERS angstrom
7.215 0.000 0.000
3.607 9.123 0.000
3.607 0.000 9.123
```

***

Computed, not measured: crystalline Ba8Sr6Ca at its relaxed geometry at the PBE level of DFT. Values from VASP.

Results
Calculated total energy, eV/f.u.: -25.6
Total moment, μB per formula unit: 0.91
SG: P-3
Calculated formation energy, eV/atom: 0.13
Distance to the lowest polymorph of the same formula, meV per atom: 0.0

Structure (Quantum ESPRESSO input):
```
&SYSTEM
  ibrav = 0, nat = 15, ntyp = 3
/
ATOMIC_SPECIES
Ba 137.33 Ba.upf
Sr 87.62 Sr.upf
Ca 40.08 Ca.upf
ATOMIC_POSITIONS crystal
Ba 0.780 0.047 0.267
Ba 0.780 0.733 0.780
Ba 0.780 0.220 0.953
Ba 0.220 0.953 0.733
Ba 0.220 0.267 0.220
Ba 0.220 0.780 0.047
Ba 0.777 0.333 0.667
Ba 0.223 0.667 0.333
Sr 0.729 0.628 0.098
Sr 0.729 0.902 0.530
Sr 0.729 0.470 0.372
Sr 0.271 0.372 0.902
Sr 0.271 0.098 0.470
Sr 0.271 0.530 0.628
Ca 0.500 0.000 0.000
CELL_PARAMETERS angstrom
-5.614 -4.464 1.390
5.770 -4.297 9.502
-7.205 9.423 1.161
```

***

Computed, not measured: crystalline Ba3Sr7Ca2 at its relaxed geometry at the PBE level of DFT. Values from VASP.

Results
Calculated total energy, eV/f.u.: -20.7
Total moment, μB per formula unit: 0.02
SG: Cmmm
Calculated formation energy, eV/atom: 0.07
Distance to the lowest polymorph of the same formula, meV per atom: 0.0

Structure (Quantum ESPRESSO input):
```
&SYSTEM
  ibrav = 0, nat = 12, ntyp = 3
/
ATOMIC_SPECIES
Ba 137.33 Ba.upf
Sr 87.62 Sr.upf
Ca 40.08 Ca.upf
ATOMIC_POSITIONS crystal
Ba 0.500 0.500 0.000
Ba 0.500 0.681 0.362
Ba 0.500 0.319 0.638
Sr 0.000 0.409 0.819
Sr 0.000 0.771 0.543
Sr 0.000 0.000 0.000
Sr 0.000 0.591 0.181
Sr 0.500 0.072 0.145
Sr 0.500 0.928 0.855
Sr 0.000 0.229 0.457
Ca 0.000 0.855 0.711
Ca 0.000 0.145 0.289
CELL_PARAMETERS angstrom
-3.993 0.121 -1.533
-0.353 -6.918 0.374
-7.901 5.015 20.970
```

***

Computed, not measured: crystalline Ba2Sr2Ca3 at its relaxed geometry at the PBE level of DFT. Values from VASP.

Results
Calculated total energy, eV/f.u.: -13.0
Total moment, μB per formula unit: 0.00
SG: P-1
Calculated formation energy, eV/atom: 0.03

Structure (Quantum ESPRESSO input):
```
&SYSTEM
  ibrav = 0, nat = 7, ntyp = 3
/
ATOMIC_SPECIES
Ba 137.33 Ba.upf
Sr 87.62 Sr.upf
Ca 40.08 Ca.upf
ATOMIC_POSITIONS crystal
Ba 0.566 0.281 0.860
Ba 0.434 0.719 0.140
Sr 0.717 0.841 0.570
Sr 0.283 0.159 0.430
Ca 0.000 0.000 0.000
Ca 0.900 0.423 0.284
Ca 0.100 0.577 0.716
CELL_PARAMETERS angstrom
4.035 -0.066 0.175
-2.200 9.757 -1.995
0.437 -3.178 9.682
```

***

Computed, not measured: crystalline Ba14SrCa at its relaxed geometry at the PBE level of DFT. Values from VASP.

Results
Calculated total energy, eV/f.u.: -30.5
Total moment, μB per formula unit: 0.00
SG: Amm2
Calculated formation energy, eV/atom: 0.01

Structure (Quantum ESPRESSO input):
```
&SYSTEM
  ibrav = 0, nat = 16, ntyp = 3
/
ATOMIC_SPECIES
Ba 137.33 Ba.upf
Sr 87.62 Sr.upf
Ca 40.08 Ca.upf
ATOMIC_POSITIONS crystal
Ba 0.375 0.625 0.500
Ba 0.875 0.125 0.500
Ba 0.875 0.624 0.000
Ba 0.875 0.625 0.500
Ba 0.376 0.125 0.000
Ba 0.375 0.125 0.500
Ba 0.629 0.878 0.757
Ba 0.629 0.878 0.243
Ba 0.122 0.371 0.757
Ba 0.122 0.371 0.243
Ba 0.121 0.879 0.757
Ba 0.121 0.879 0.243
Ba 0.628 0.372 0.757
Ba 0.628 0.372 0.243
Sr 0.375 0.625 0.000
Ca 0.874 0.126 0.000
CELL_PARAMETERS angstrom
-3.717 7.071 -5.919
-1.011 -6.655 -7.316
-9.144 -2.128 3.199
```

***

Computed, not measured: crystalline BaSr4Ca12 at its relaxed geometry at the PBE level of DFT. Values from VASP.

Results
Calculated total energy, eV/f.u.: -30.5
Total moment, μB per formula unit: 0.00
SG: Im-3m
Calculated formation energy, eV/atom: 0.13

Structure (Quantum ESPRESSO input):
```
&SYSTEM
  ibrav = 0, nat = 17, ntyp = 3
/
ATOMIC_SPECIES
Ba 137.33 Ba.upf
Sr 87.62 Sr.upf
Ca 40.08 Ca.upf
ATOMIC_POSITIONS crystal
Ba 0.000 0.000 0.000
Sr 0.000 0.000 0.500
Sr 0.500 0.000 0.000
Sr 0.500 0.500 0.500
Sr 0.000 0.500 0.000
Ca 0.000 0.304 0.304
Ca 0.000 0.696 0.696
Ca 0.696 0.696 0.000
Ca 0.304 0.304 0.000
Ca 0.304 0.000 0.304
Ca 0.696 0.000 0.696
Ca 0.500 0.250 0.750
Ca 0.500 0.750 0.250
Ca 0.750 0.250 0.500
Ca 0.250 0.750 0.500
Ca 0.750 0.500 0.250
Ca 0.250 0.500 0.750
CELL_PARAMETERS angstrom
9.555 0.000 -3.378
-4.778 8.275 -3.378
0.000 0.000 10.135
```